[1]
{
  "formula": "Tb8YTm6",
  "functional": "PBE",
  "state": "relaxed",
  "cell": [[4.485, 2.589, 6.846], [-4.485, 2.589, 6.846], [0.000, -5.178, 6.846]],
  "species": ["Tb", "Tb", "Tb", "Tb", "Tb", "Tb", "Tb", "Tb", "Y", "Tm", "Tm", "Tm", "Tm", "Tm", "Tm"],
  "frac_coords": [[0.077, 0.077, 0.077], [0.219, 0.610, 0.246], [0.246, 0.219, 0.610], [0.390, 0.754, 0.781], [0.610, 0.246, 0.219], [0.754, 0.781, 0.390], [0.781, 0.390, 0.754], [0.923, 0.923, 0.923], [0.500, 0.500, 0.500], [0.039, 0.604, 0.738], [0.262, 0.961, 0.396], [0.396, 0.262, 0.961], [0.604, 0.738, 0.039], [0.738, 0.039, 0.604], [0.961, 0.396, 0.262]],
  "ef_mev_per_atom": 136,
  "dos_at_fermi_per_ev_cell": 24.295,
  "magmom_total_mub_per_cell": 0.00,
  "sg": "R-3 (148)"
}

[2]
{
  "formula": "YTe3Cl",
  "functional": "PBE",
  "state": "relaxed",
  "cell": [[5.825, 0.000, 0.000], [0.000, 5.825, 0.000], [0.000, 0.000, 5.825]],
  "species": ["Y", "Te", "Te", "Te", "Cl"],
  "frac_coords": [[0.000, 0.000, 0.000], [0.000, 0.000, 0.500], [0.000, 0.500, 0.000], [0.500, 0.000, 0.000], [0.500, 0.500, 0.500]],
  "dos_at_fermi_per_ev_cell": 7.113,
  "magmom_total_mub_per_cell": 1.63,
  "raw_formation_energy_ev_per_atom": -0.130,
  "sg": "Pm-3m (221)"
}

[3]
{
  "formula": "Rb2AlInGe",
  "functional": "PBE",
  "state": "relaxed",
  "cell": [[6.907, 0.000, 0.000], [0.000, 6.907, 0.000], [0.000, 0.000, 5.183]],
  "species": ["Rb", "Rb", "Al", "In", "Ge"],
  "frac_coords": [[0.000, 0.500, 0.000], [0.500, 0.000, 0.000], [0.000, 0.000, 0.000], [0.000, 0.000, 0.500], [0.500, 0.500, 0.500]],
  "ef_mev_per_atom": 611,
  "dos_at_fermi_per_ev_cell": 3.467,
  "magmom_total_mub_per_cell": 1.69,
  "sg": "P4/mmm (123)"
}

[4]
{
  "formula": "Tb2GaSi3Ni12",
  "functional": "PBE",
  "state": "relaxed",
  "cell": [[4.208, 2.430, 3.968], [-4.208, 2.430, 3.968], [0.000, -4.859, 3.968]],
  "species": ["Tb", "Tb", "Ga", "Si", "Si", "Si", "Ni", "Ni", "Ni", "Ni", "Ni", "Ni", "Ni", "Ni", "Ni", "Ni", "Ni", "Ni"],
  "frac_coords": [[0.153, 0.153, 0.153], [0.847, 0.847, 0.847], [0.500, 0.500, 0.500], [0.000, 0.500, 0.500], [0.500, 0.000, 0.500], [0.500, 0.500, 0.000], [0.115, 0.115, 0.596], [0.115, 0.596, 0.115], [0.205, 0.686, 0.686], [0.314, 0.314, 0.795], [0.314, 0.795, 0.314], [0.404, 0.885, 0.885], [0.596, 0.115, 0.115], [0.686, 0.205, 0.686], [0.686, 0.686, 0.205], [0.795, 0.314, 0.314], [0.885, 0.404, 0.885], [0.885, 0.885, 0.404]],
  "dos_at_fermi_per_ev_cell": 13.418,
  "magmom_total_mub_per_cell": 0.00,
  "raw_formation_energy_ev_per_atom": -0.203,
  "sg": "R-3m (166)"
}

[5]
{
  "formula": "InGaN2",
  "functional": "PBE",
  "state": "relaxed",
  "cell": [[4.819, 0.000, 0.000], [0.000, 4.819, 0.000], [0.000, 0.000, 9.474]],
  "species": ["In", "In", "In", "In", "Ga", "Ga", "Ga", "Ga", "N", "N", "N", "N", "N", "N", "N", "N"],
  "frac_coords": [[0.000, 0.000, 0.000], [0.000, 0.500, 0.250], [0.500, 0.000, 0.750], [0.500, 0.500, 0.500], [0.000, 0.000, 0.500], [0.000, 0.500, 0.750], [0.500, 0.000, 0.250], [0.500, 0.500, 0.000], [0.214, 0.250, 0.625], [0.250, 0.714, 0.875], [0.250, 0.786, 0.375], [0.286, 0.250, 0.125], [0.714, 0.750, 0.125], [0.750, 0.214, 0.375], [0.750, 0.286, 0.875], [0.786, 0.750, 0.625]],
  "dos_at_fermi_per_ev_cell": 0.000,
  "magmom_total_mub_per_cell": 0.00,
  "raw_formation_energy_ev_per_atom": -0.165,
  "sg": "I-42d (122)"
}

[6]
{
  "formula": "Pr2Nd3Er",
  "functional": "PBE",
  "state": "relaxed",
  "cell": [[4.590, -5.028, 0.000], [4.590, 5.028, 0.000], [-1.841, 0.000, 9.003]],
  "species": ["Pr", "Pr", "Pr", "Pr", "Nd", "Nd", "Nd", "Nd", "Nd", "Nd", "Er", "Er"],
  "frac_coords": [[0.120, 0.629, 0.876], [0.371, 0.880, 0.624], [0.629, 0.120, 0.376], [0.880, 0.371, 0.124], [0.169, 0.336, 0.501], [0.336, 0.169, 0.001], [0.415, 0.585, 0.250], [0.585, 0.415, 0.750], [0.664, 0.831, 0.999], [0.831, 0.664, 0.499], [0.083, 0.917, 0.250], [0.917, 0.083, 0.750]],
  "ef_mev_per_atom": 57,
  "dos_at_fermi_per_ev_cell": 17.680,
  "magmom_total_mub_per_cell": 0.00,
  "sg": "C2/c (15)"
}

[7]
{
  "formula": "K2LiY",
  "functional": "PBE",
  "state": "relaxed",
  "cell": [[5.642, 0.000, 0.000], [0.000, 5.642, 0.000], [0.000, 0.000, 10.990]],
  "species": ["K", "K", "K", "K", "Li", "Li", "Y", "Y"],
  "frac_coords": [[0.000, 0.000, 0.000], [0.000, 0.500, 0.250], [0.500, 0.000, 0.750], [0.500, 0.500, 0.500], [0.000, 0.500, 0.750], [0.500, 0.000, 0.250], [0.000, 0.000, 0.500], [0.500, 0.500, 0.000]],
  "ef_mev_per_atom": 570,
  "dos_at_fermi_per_ev_cell": 10.164,
  "magmom_total_mub_per_cell": 0.00,
  "sg": "I-4m2 (119)"
}

[8]
{
  "formula": "V2CuCl",
  "functional": "PBE",
  "state": "relaxed",
  "cell": [[5.983, 0.000, 0.000], [0.000, 5.983, 0.000], [0.000, 0.000, 5.983]],
  "species": ["V", "V", "V", "V", "V", "V", "V", "V", "Cu", "Cu", "Cu", "Cu", "Cl", "Cl", "Cl", "Cl"],
  "frac_coords": [[0.250, 0.250, 0.250], [0.250, 0.250, 0.750], [0.250, 0.750, 0.250], [0.250, 0.750, 0.750], [0.750, 0.250, 0.250], [0.750, 0.250, 0.750], [0.750, 0.750, 0.250], [0.750, 0.750, 0.750], [0.000, 0.000, 0.000], [0.000, 0.500, 0.500], [0.500, 0.000, 0.500], [0.500, 0.500, 0.000], [0.000, 0.000, 0.500], [0.000, 0.500, 0.000], [0.500, 0.000, 0.000], [0.500, 0.500, 0.500]],
  "dos_at_fermi_per_ev_cell": 21.490,
  "magmom_total_mub_per_cell": 0.02,
  "raw_formation_energy_ev_per_atom": 0.548,
  "sg": "Fm-3m (225)"
}